1.
Compound: K2GeBi
Source: Alexandria
Functional: PBE-GGA
Structure: relaxed

Cell: 11.102 6.959 9.415 Å, 90.00 111.34 90.00°
Sites, in units of the cell vectors:
K 0.184 0.230 0.114
K 0.184 0.270 0.614
K 0.240 0.728 0.329
K 0.240 0.772 0.829
K 0.760 0.228 0.171
K 0.760 0.272 0.671
K 0.816 0.730 0.386
K 0.816 0.770 0.886
Ge 0.415 0.130 0.486
Ge 0.415 0.370 0.986
Ge 0.585 0.630 0.014
Ge 0.585 0.870 0.514
Bi 0.481 0.581 0.675
Bi 0.481 0.919 0.175
Bi 0.519 0.081 0.825
Bi 0.519 0.419 0.325

Values from the calculation:
Energy above the most stable polymorph in this dataset (meV/atom): 22.3
Magnetic moment (μB per atom): 0.0000
Formation enthalpy at 0 K (meV per atom): -78
VASP energy (eV/atom): -2.75

=====

2.
Compound: K5Ge4Bi2
Source: Alexandria
Functional: PBE-GGA
Structure: relaxed

Cell: 7.106 7.106 9.970 Å, 110.60 110.60 53.26°
Sites, in units of the cell vectors:
K 0.000 0.000 0.000
K 0.167 0.654 0.622
K 0.346 0.833 0.378
K 0.654 0.167 0.622
K 0.833 0.346 0.378
Ge 0.282 0.282 0.285
Ge 0.364 0.364 0.105
Ge 0.636 0.636 0.895
Ge 0.718 0.718 0.715
Bi 0.193 0.193 0.794
Bi 0.807 0.807 0.206

Values from the calculation:
Magnetic moment (μB per atom): 0.0000
Formation enthalpy at 0 K (meV per atom): 3
VASP energy (eV/atom): -2.88

=====

3.
Compound: KGe3Bi
Source: Alexandria
Functional: PBE-GGA
Structure: relaxed

Cell: 5.458 5.458 5.458 Å, 90.00 90.00 90.00°
Sites, in units of the cell vectors:
K 0.000 0.000 0.000
Ge 0.000 0.000 0.500
Ge 0.000 0.500 0.000
Ge 0.500 0.000 0.000
Bi 0.500 0.500 0.500

Values from the calculation:
Energy above the most stable polymorph in this dataset (meV/atom): 714.7
Magnetic moment (μB per atom): 0.0000
Formation enthalpy at 0 K (meV per atom): 1385
VASP energy (eV/atom): -2.38

=====

4.
Compound: K2GeBi
Source: Alexandria
Functional: PBE-GGA
Structure: relaxed

Cell: 6.994 6.994 5.891 Å, 90.00 90.00 76.48°
Sites, in units of the cell vectors:
K 0.022 0.349 0.250
K 0.349 0.022 0.750
K 0.651 0.978 0.250
K 0.978 0.651 0.750
Ge 0.500 0.500 0.000
Ge 0.500 0.500 0.500
Bi 0.184 0.816 0.250
Bi 0.816 0.184 0.750

Values from the calculation:
Energy above the most stable polymorph in this dataset (meV/atom): 0.0
Magnetic moment (μB per atom): 0.0000
Formation enthalpy at 0 K (meV per atom): -100
VASP energy (eV/atom): -2.77

=====

5.
Compound: KGe2Bi2
Source: Alexandria
Functional: PBE-GGA
Structure: relaxed

Cell: 8.735 8.735 3.869 Å, 90.00 90.00 90.00°
Sites, in units of the cell vectors:
K 0.000 0.000 0.000
K 0.500 0.500 0.000
Ge 0.112 0.388 0.000
Ge 0.388 0.888 0.000
Ge 0.612 0.112 0.000
Ge 0.888 0.612 0.000
Bi 0.160 0.660 0.500
Bi 0.340 0.160 0.500
Bi 0.660 0.840 0.500
Bi 0.840 0.340 0.500

Values from the calculation:
Energy above the most stable polymorph in this dataset (meV/atom): 45.2
Magnetic moment (μB per atom): 0.0000
Formation enthalpy at 0 K (meV per atom): 29
VASP energy (eV/atom): -3.59

=====

6.
Compound: KGe2Bi2
Source: Alexandria
Functional: PBE-GGA
Structure: relaxed

Cell: 6.852 6.852 6.852 Å, 134.73 134.73 65.95°
Sites, in units of the cell vectors:
K 0.000 0.000 0.000
Ge 0.382 0.382 0.000
Ge 0.618 0.618 0.000
Bi 0.250 0.750 0.500
Bi 0.750 0.250 0.500

Values from the calculation:
Energy above the most stable polymorph in this dataset (meV/atom): 0.0
Magnetic moment (μB per atom): 0.0000
Formation enthalpy at 0 K (meV per atom): -17
VASP energy (eV/atom): -3.64

=====

7.
Compound: KGe3Bi
Source: Alexandria
Functional: PBE-GGA
Structure: relaxed

Cell: 5.676 5.676 5.676 Å, 90.00 90.00 90.00°
Sites, in units of the cell vectors:
K 0.000 0.000 0.000
Ge 0.000 0.500 0.500
Ge 0.500 0.000 0.500
Ge 0.500 0.500 0.000
Bi 0.500 0.500 0.500

Values from the calculation:
Energy above the most stable polymorph in this dataset (meV/atom): 0.0
Magnetic moment (μB per atom): 0.0000
Formation enthalpy at 0 K (meV per atom): 671
VASP energy (eV/atom): -3.10

=====

8.
Compound: KGe2Bi2
Source: Alexandria
Functional: PBE-GGA
Structure: relaxed

Cell: 8.919 8.919 3.835 Å, 90.00 90.00 90.00°
Sites, in units of the cell vectors:
K 0.000 0.000 0.000
K 0.500 0.500 0.000
Ge 0.132 0.368 0.500
Ge 0.368 0.868 0.500
Ge 0.632 0.132 0.500
Ge 0.868 0.632 0.500
Bi 0.138 0.638 0.000
Bi 0.362 0.138 0.000
Bi 0.638 0.862 0.000
Bi 0.862 0.362 0.000

Values from the calculation:
Energy above the most stable polymorph in this dataset (meV/atom): 106.3
Magnetic moment (μB per atom): 0.0000
Formation enthalpy at 0 K (meV per atom): 90
VASP energy (eV/atom): -3.53

=====

9.
Compound: KGe2Bi2
Source: Alexandria
Functional: PBE-GGA
Structure: relaxed

Cell: 7.490 7.490 7.490 Å, 140.40 140.40 57.25°
Sites, in units of the cell vectors:
K 0.000 0.000 0.000
Ge 0.250 0.750 0.500
Ge 0.750 0.250 0.500
Bi 0.368 0.368 0.000
Bi 0.632 0.632 0.000

Values from the calculation:
Energy above the most stable polymorph in this dataset (meV/atom): 3.0
Magnetic moment (μB per atom): 0.0000
Formation enthalpy at 0 K (meV per atom): -14
VASP energy (eV/atom): -3.63

=====

10.
Compound: KLaGeBi2
Source: Alexandria
Functional: PBE-GGA
Structure: relaxed

Cell: 6.218 6.218 5.832 Å, 90.00 90.00 90.00°
Sites, in units of the cell vectors:
K 0.000 0.000 0.000
La 0.500 0.500 0.500
Ge 0.500 0.500 0.000
Bi 0.000 0.500 0.500
Bi 0.500 0.000 0.500

Values from the calculation:
Magnetic moment (μB per atom): 0.0000
Formation enthalpy at 0 K (meV per atom): 112
VASP energy (eV/atom): -3.57

=====

11.
Compound: K2Ge3BiPt4
Source: Alexandria
Functional: PBE-GGA
Structure: relaxed

Cell: 4.611 4.611 10.297 Å, 90.00 90.00 90.00°
Sites, in units of the cell vectors:
K 0.000 0.500 0.242
K 0.500 0.000 0.758
Ge 0.000 0.500 0.888
Ge 0.500 0.000 0.112
Ge 0.500 0.500 0.500
Bi 0.000 0.000 0.500
Pt 0.000 0.000 0.000
Pt 0.000 0.500 0.643
Pt 0.500 0.000 0.357
Pt 0.500 0.500 0.000

Values from the calculation:
Magnetic moment (μB per atom): 0.0000
Formation enthalpy at 0 K (meV per atom): -380
VASP energy (eV/atom): -4.79

=====

12.
Compound: KGeBiS4
Source: Alexandria
Functional: PBE-GGA
Structure: relaxed

Cell: 6.702 6.870 17.614 Å, 90.00 107.09 90.00°
Sites, in units of the cell vectors:
K 0.225 0.244 0.466
K 0.225 0.256 0.966
K 0.775 0.744 0.034
K 0.775 0.756 0.534
Ge 0.285 0.737 0.842
Ge 0.285 0.763 0.342
Ge 0.715 0.237 0.658
Ge 0.715 0.263 0.158
Bi 0.263 0.195 0.220
Bi 0.263 0.305 0.720
Bi 0.737 0.695 0.280
Bi 0.737 0.805 0.780
S 0.074 0.741 0.418
S 0.074 0.759 0.918
S 0.085 0.674 0.717
S 0.085 0.826 0.217
S 0.488 0.506 0.133
S 0.488 0.994 0.633
S 0.489 0.000 0.855
S 0.489 0.500 0.355
S 0.511 0.000 0.145
S 0.511 0.500 0.645
S 0.512 0.006 0.367
S 0.512 0.494 0.867
S 0.915 0.174 0.783
S 0.915 0.326 0.283
S 0.926 0.241 0.082
S 0.926 0.259 0.582

Values from the calculation:
Energy relative to the elements, uncorrected (eV/f.u.): -4.44
Energy above the most stable polymorph in this dataset (meV/atom): 0.0
Magnetic moment (μB per atom): 0.0000
VASP energy (eV/atom): -4.36